Entry 1:
K2LiSiRh | PBEsol | optimized geometry

Lattice parameters (Å, degrees): 5.0211 5.0211 4.7691 90.00 90.00 90.00
With the nearest neighbours (Å) after each atom.
Element x y z (fractional)
K (0.0000, 0.5000, 0.0000)  2 Li 2.51
K (0.5000, 0.0000, 0.0000)  2 Li 2.51
Li (0.0000, 0.0000, 0.0000)  2 Si 2.38, 4 K 2.51
Si (0.0000, 0.0000, 0.5000)  2 Li 2.38
Rh (0.5000, 0.5000, 0.5000)  8 K 3.46, 4 Si 3.55

Output
The space group is P4/mmm, No. 123. The value obtained for the electronic total energy is -2.632 eV/atom.

***

Entry 2:
KLi2Ru | PBEsol | optimized geometry

Lattice parameters (Å, degrees): 6.6419 7.8381 2.6489 90.00 90.00 90.00
With the nearest neighbours (Å) after each atom.
Element x y z (fractional)
K (0.0000, 0.0000, 0.0000)  2 K 2.65, 8 Li 2.89
K (0.5000, 0.5000, 0.0000)  2 K 2.65, 8 Li 2.89
Li (0.2500, 0.2500, 0.5000)  2 Li 2.65, 4 K 2.89, 4 Ru 2.89
Li (0.2500, 0.7500, 0.5000)  2 Li 2.65, 4 K 2.89, 4 Ru 2.89
Li (0.7500, 0.2500, 0.5000)  2 Li 2.65, 4 K 2.89, 4 Ru 2.89
Li (0.7500, 0.7500, 0.5000)  2 Li 2.65, 4 Ru 2.89, 4 K 2.89
Ru (0.0000, 0.5000, 0.0000)  2 Ru 2.65, 8 Li 2.89
Ru (0.5000, 0.0000, 0.0000)  2 Ru 2.65, 8 Li 2.89

Output
The space group is Cmmm, No. 65. Its formation energy is 0.6852 eV/atom.

***

Entry 3:
K2LiRu | PBEsol | optimized geometry

Lattice parameters (Å, degrees): 3.4156 3.4156 9.9601 90.00 90.00 90.00
With the nearest neighbours (Å) after each atom.
Element x y z (fractional)
K (0.0000, 0.0000, 0.0000)  1 Li 3.18, 4 Ru 3.37, 4 K 3.42
K (0.5000, 0.5000, 0.4316)  1 Ru 3.31, 4 K 3.42, 4 Li 3.46
Li (0.0000, 0.0000, 0.6808)  4 Ru 2.55
Ru (0.5000, 0.5000, 0.7638)  4 Li 2.55

Output
The space group is P4mm, No. 99. Its formation energy is 0.8603 eV/atom.

***

Entry 4:
K2Li2Ru | PBEsol | optimized geometry

Lattice parameters (Å, degrees): 6.3117 6.3117 7.6558 90.00 90.00 90.00
With the nearest neighbours (Å) after each atom.
Element x y z (fractional)
K (0.0000, 0.5000, 0.2500)  4 Li 3.20
K (0.0000, 0.5000, 0.7500)  4 Li 3.20
K (0.5000, 0.0000, 0.2500)  4 Li 3.20
K (0.5000, 0.0000, 0.7500)  4 Li 3.20
Li (0.0000, 0.0000, 0.1837)  1 Ru 2.42
Li (0.0000, 0.0000, 0.8163)  1 Ru 2.42
Li (0.5000, 0.5000, 0.3163)  1 Ru 2.42
Li (0.5000, 0.5000, 0.6837)  1 Ru 2.42
Ru (0.0000, 0.0000, 0.5000)  2 Li 2.42
Ru (0.5000, 0.5000, 0.0000)  2 Li 2.42

Output
The space group is I4/mmm, No. 139. Its formation energy is 0.9879 eV/atom.

***

N(E_F) across the listed records, respectively: 1.51; 0.68; 0.98; 0.97 states/eV per atom.